Entry 1:
Density functional theory data (PBE-GGA) for crystalline YMg2W at its relaxed geometry.

Unit cell a=10.8750 b=10.8750 c=10.8750 alpha=16.01 beta=16.01 gamma=16.01
With the nearest neighbours (Å) after each atom.
Element x y z (fractional)
1 Mg 0.9906 0.9906 0.9906  3 W 2.95, 6 Mg 3.03
2 Mg 0.5094 0.5094 0.5094  3 W 2.95, 6 Mg 3.03
3 W 0.2500 0.2500 0.2500  6 Mg 2.95, 6 W 3.03
4 Y 0.7500 0.7500 0.7500  6 Y 3.03

The value obtained for the density is 6.3 Mg/m³. For the energy, the calculation gives -20.74 eV for the cell shown. The total moment is 0.0 μB per formula unit. As for the density of states at the Fermi level: 3.7 states/eV/cell. Its energy relative to the elements is 466 meV per atom.

Entry 2:
Density functional theory data (PBE-GGA) for crystalline Tb4Ho19Er6 at its relaxed geometry.

Unit cell a=10.6953 b=10.6954 c=10.6954 alpha=109.47 beta=109.47 gamma=109.47
With the nearest neighbours (Å) after each atom.
Element x y z (fractional)
1 Tb 0.0000 0.0000 0.6425  9 Ho 3.29-3.39
2 Tb 0.0000 0.6425 0.0000  9 Ho 3.29-3.39
3 Tb 0.3575 0.3575 0.3575  9 Ho 3.29-3.39
4 Tb 0.6425 0.0000 0.0000  9 Ho 3.29-3.39
5 Ho 0.7376 0.0000 0.7376  5 Ho 3.24-3.51, 2 Tb 3.29, 2 Er 3.33
6 Ho 0.2624 0.0000 0.2624  5 Ho 3.24-3.51, 2 Tb 3.29, 2 Er 3.33
7 Ho 0.2624 0.2624 0.0000  5 Ho 3.24-3.51, 2 Tb 3.29, 2 Er 3.33
8 Ho 0.7376 0.7376 0.0000  5 Ho 3.24-3.51, 2 Tb 3.29, 2 Er 3.33
9 Ho 0.0000 0.7376 0.7376  5 Ho 3.24-3.51, 2 Tb 3.29, 2 Er 3.33
10 Ho 0.0000 0.2624 0.2624  5 Ho 3.24-3.51, 2 Tb 3.29, 2 Er 3.33
11 Ho 0.0000 0.0000 0.0000  6 Ho 3.24
12 Ho 0.2003 0.2138 0.5400  2 Er 3.17-3.54, 2 Tb 3.31-3.39, 2 Ho 3.35-3.51
13 Ho 0.7997 0.3398 0.0136  2 Er 3.17-3.54, 2 Tb 3.31-3.39, 2 Ho 3.35-3.51
14 Ho 0.6738 0.6602 0.4600  2 Er 3.17-3.54, 2 Tb 3.31-3.39, 2 Ho 3.35-3.51
15 Ho 0.0136 0.7997 0.3398  2 Er 3.17-3.54, 2 Tb 3.31-3.39, 2 Ho 3.35-3.51
16 Ho 0.3262 0.7862 0.9864  2 Er 3.17-3.54, 2 Tb 3.31-3.39, 2 Ho 3.35-3.51
17 Ho 0.5400 0.2003 0.2138  2 Er 3.17-3.54, 2 Tb 3.31-3.39, 2 Ho 3.35-3.51
18 Ho 0.9864 0.3262 0.7862  2 Er 3.17-3.54, 2 Tb 3.31-3.39, 2 Ho 3.35-3.51
19 Ho 0.4600 0.6738 0.6602  2 Er 3.17-3.54, 2 Tb 3.31-3.39, 2 Ho 3.35-3.51
20 Ho 0.7862 0.9864 0.3262  2 Er 3.17-3.54, 2 Tb 3.31-3.39, 2 Ho 3.35-3.51
21 Ho 0.3398 0.0136 0.7997  2 Er 3.17-3.54, 2 Tb 3.31-3.39, 2 Ho 3.35-3.51
22 Ho 0.2138 0.5400 0.2003  2 Er 3.17-3.54, 2 Tb 3.31-3.39, 2 Ho 3.35-3.51
23 Ho 0.6602 0.4600 0.6738  2 Er 3.17-3.54, 2 Tb 3.31-3.39, 2 Ho 3.35-3.51
24 Er 0.3727 0.5000 0.8727  1 Er 3.14, 4 Ho 3.17-3.33
25 Er 0.6273 0.5000 0.1273  1 Er 3.14, 4 Ho 3.17-3.33
26 Er 0.1273 0.6273 0.5000  1 Er 3.14, 4 Ho 3.17-3.33
27 Er 0.8727 0.3727 0.5000  1 Er 3.14, 4 Ho 3.17-3.33
28 Er 0.5000 0.8727 0.3727  1 Er 3.14, 4 Ho 3.17-3.33
29 Er 0.5000 0.1273 0.6273  1 Er 3.14, 4 Ho 3.17-3.33

The value obtained for the density is 8.4 Mg/m³. For the energy, the calculation gives -121.41 eV for the cell shown. The total moment is 0.0 μB per formula unit. As for the density of states at the Fermi level: 44.2 states/eV/cell. Its energy relative to the elements is 395 meV per atom.

Entry 3:
Density functional theory data (PBE-GGA) for crystalline CeMnZn2 at its relaxed geometry.

Unit cell a=3.0296 b=3.0296 c=7.6657 alpha=90.00 beta=90.00 gamma=90.00
With the nearest neighbours (Å) after each atom.
Element x y z (fractional)
1 Zn 0.0000 0.0000 0.8011  4 Mn 2.63
2 Zn 0.0000 0.0000 0.1989  4 Mn 2.63
3 Mn 0.5000 0.5000 0.0000  8 Zn 2.63
4 Ce 0.5000 0.5000 0.5000  4 Ce 3.03, 8 Zn 3.15

The value obtained for the density is 7.7 Mg/m³. For the energy, the calculation gives -17.84 eV for the cell shown. The total moment is 3.2 μB per formula unit. As for the density of states at the Fermi level: 5.3 states/eV/cell. Its energy relative to the elements is -46 meV per atom.

Entry 4:
Density functional theory data (PBE-GGA) for crystalline LaP2PdCl at its relaxed geometry.

Unit cell a=5.6261 b=5.6261 c=5.3827 alpha=90.00 beta=90.00 gamma=90.00
With the nearest neighbours (Å) after each atom.
Element x y z (fractional)
1 P 0.0000 0.5000 0.0000  2 La 2.81
2 P 0.5000 0.0000 0.0000  2 La 2.81
3 Cl 0.0000 0.0000 0.5000  2 La 2.69
4 Pd 0.5000 0.5000 0.5000  8 P 3.89, 4 Cl 3.98
5 La 0.0000 0.0000 0.0000  2 Cl 2.69, 4 P 2.81

The value obtained for the density is 3.3 Mg/m³. For the energy, the calculation gives -20.38 eV for the cell shown. The total moment is 1.8 μB per formula unit. As for the formation energy without anion corrections: 46.48 kJ/mol of atoms. As for the density of states at the Fermi level: 6.7 states/eV/cell.